Entry 1:
A relaxed structure of Li4Tm3AsS8, computed with PBE-GGA.

Cell: 7.6453 7.5668 7.6447 Å, 120.36 120.00 90.00°
With the nearest neighbours (Å) after each atom.
Positions (direct):
Li1 0.5000 0.0000 0.0000  6 S 2.76
Li2 0.5000 0.0000 0.5000  6 S 2.68-2.69
Li3 0.0000 0.0000 0.0000  6 S 2.68-2.69
Li4 0.0000 0.0000 0.5000  6 S 2.68-2.69
Tm1 0.5000 0.5000 0.0000  6 S 2.68-2.70
Tm2 0.5000 0.5000 0.5000  6 S 2.68-2.70
Tm3 0.0000 0.5000 0.5000  6 S 2.68-2.70
As1 0.0000 0.5000 0.0000  6 S 2.62
S1 0.2436 0.7449 0.0015  1 As 2.62, 3 Li 2.68-2.76, 2 Tm 2.70
S2 0.2436 0.7450 0.4873  1 As 2.62, 3 Li 2.68-2.76, 2 Tm 2.70
S3 0.2503 0.2512 0.5007  3 Tm 2.68, 3 Li 2.69
S4 0.7579 0.7449 0.0015  1 As 2.62, 3 Li 2.68-2.76, 2 Tm 2.70
S5 0.2421 0.2551 0.9985  1 As 2.62, 3 Li 2.68-2.76, 2 Tm 2.70
S6 0.7497 0.7488 0.4993  3 Tm 2.68, 3 Li 2.69
S7 0.7564 0.2550 0.5127  1 As 2.62, 3 Li 2.68-2.76, 2 Tm 2.70
S8 0.7564 0.2551 0.9985  1 As 2.62, 3 Li 2.68-2.76, 2 Tm 2.70

VASP energy = -5.20 eV per atom
SG = R-3m
Energy relative to the elements, uncorrected = -1526 meV/atom
Total magnetic moment = 0.00 μB/f.u.

Entry 2:
A relaxed structure of CaGePS2, computed with PBE-GGA.

Cell: 4.8735 4.8735 4.6275 Å, 90.00 90.00 90.00°
With the nearest neighbours (Å) after each atom.
Positions (direct):
S1 0.0000 0.5000 0.0000  2 Ge 2.44
S2 0.5000 0.0000 0.0000  2 Ge 2.44
P1 0.0000 0.0000 0.5000  2 Ge 2.31
Ge1 0.0000 0.0000 0.0000  2 P 2.31, 4 S 2.44
Ca1 0.5000 0.5000 0.5000  8 S 3.36, 4 P 3.45

VASP energy = -4.32 eV per atom
SG = P4/mmm
Energy relative to the elements, uncorrected = -265 meV/atom
Total magnetic moment = 0.00 μB/f.u.

Entry 3:
A relaxed structure of CaAc2LaPr2, computed with PBE-GGA.

Cell: 7.4585 6.9973 9.3595 Å, 97.56 90.00 90.00°
With the nearest neighbours (Å) after each atom.
Positions (direct):
Ca1 0.2500 0.3257 0.8409  2 Pr 3.57-3.74, 3 La 3.73-3.74, 4 Ac 3.93-3.94
Ca2 0.7500 0.6743 0.1591  2 Pr 3.57-3.74, 3 La 3.73-3.74, 4 Ac 3.93-3.94
Ac1 0.4987 0.1848 0.1822  3 Ac 3.71-4.00, 4 Pr 3.80-3.97, 3 La 3.86-4.06, 3 Ca 3.93-4.01
Ac2 0.0013 0.1848 0.1822  3 Ac 3.71-4.00, 4 Pr 3.80-3.97, 3 La 3.86-4.06, 3 Ca 3.93-4.01
Ac3 0.9987 0.8152 0.8178  3 Ac 3.71-4.00, 4 Pr 3.80-3.97, 3 La 3.86-4.06, 3 Ca 3.93-4.01
Ac4 0.5013 0.8152 0.8178  3 Ac 3.71-4.00, 4 Pr 3.80-3.97, 3 La 3.86-4.06, 3 Ca 3.93-4.01
La1 0.7500 0.3021 0.8336  2 Pr 3.40-3.63, 3 Ca 3.73-3.74
La2 0.2500 0.6979 0.1664  2 Pr 3.40-3.63, 3 Ca 3.73-3.74
Pr1 0.2500 0.0270 0.5007  4 Pr 3.48-3.75, 1 Ca 3.57, 1 La 3.63, 2 Ac 3.80
Pr2 0.2500 0.5284 0.4905  1 La 3.40, 4 Pr 3.48-3.76, 1 Ca 3.74
Pr3 0.7500 0.9730 0.4993  4 Pr 3.48-3.75, 1 Ca 3.57, 1 La 3.63, 2 Ac 3.80
Pr4 0.7500 0.4716 0.5095  1 La 3.40, 4 Pr 3.48-3.76, 1 Ca 3.74

Formation enthalpy at 0 K = 141.2 meV/atom
VASP energy = -3.98 eV per atom
SG = P2_1/m
Total magnetic moment = 0.00 μB/f.u.

Entry 4:
A relaxed structure of Ac2ZnGaNi, computed with PBE-GGA.

Cell: 4.4592 8.2028 7.6656 Å, 111.30 90.00 90.00°
With the nearest neighbours (Å) after each atom.
Positions (direct):
Ac1 0.7500 0.8501 0.6393  3 Ni 3.09-3.12, 2 Ga 3.28, 2 Zn 3.30
Ac2 0.7500 0.7188 0.0715  3 Ni 3.03-3.13, 1 Zn 3.34, 2 Ga 3.36
Ac3 0.2500 0.1499 0.3607  3 Ni 3.09-3.12, 2 Ga 3.28, 2 Zn 3.30
Ac4 0.2500 0.2812 0.9285  3 Ni 3.03-3.13, 1 Zn 3.34, 2 Ga 3.36
Zn1 0.2500 0.5911 0.3553  3 Ga 2.63-2.79
Zn2 0.7500 0.4089 0.6447  3 Ga 2.63-2.79
Ga1 0.2500 0.5918 0.7190  1 Ni 2.59, 3 Zn 2.63-2.79
Ga2 0.7500 0.4082 0.2810  1 Ni 2.59, 3 Zn 2.63-2.79
Ni1 0.2500 0.9164 0.9411  1 Ga 2.59, 2 Ni 2.60
Ni2 0.7500 0.0836 0.0589  1 Ga 2.59, 2 Ni 2.60

Formation enthalpy at 0 K = -371.2 meV/atom
VASP energy = -4.03 eV per atom
SG = P2_1/m
Total magnetic moment = 0.00 μB/f.u.

Entry 5:
A relaxed structure of K2NdMnTe4, computed with PBE-GGA.

Cell: 9.3139 9.3139 9.3824 Å, 120.24 120.24 92.03°
With the nearest neighbours (Å) after each atom.
Positions (direct):
K1 0.5000 0.0000 0.0000  6 Te 3.34-3.51
K2 0.5000 0.0000 0.5000  6 Te 3.34-3.51
K3 0.0000 0.0000 0.5000  6 Te 3.46-3.68
K4 0.5000 0.5000 0.0000  6 Te 3.46-3.68
Nd1 0.0000 0.5000 0.0000  6 Te 3.14-3.30
Nd2 0.0000 0.5000 0.5000  6 Te 3.14-3.30
Mn1 0.5000 0.5000 0.5000  4 Te 2.84
Mn2 0.0000 0.0000 0.0000  4 Te 2.84
Te1 0.2258 0.7424 0.9841  2 Nd 3.14, 1 Mn 3.24, 3 K 3.34-3.46
Te2 0.7576 0.2742 0.5159  2 Nd 3.14, 1 Mn 3.24, 3 K 3.34-3.46
Te3 0.2424 0.7258 0.4840  2 Nd 3.14, 1 Mn 3.24, 3 K 3.34-3.46
Te4 0.7742 0.2576 0.0160  2 Nd 3.14, 1 Mn 3.24, 3 K 3.34-3.46
Te5 0.7578 0.7420 0.9374  2 Mn 2.84
Te6 0.7580 0.7422 0.5626  2 Mn 2.84
Te7 0.2420 0.2578 0.4374  2 Mn 2.84
Te8 0.2422 0.2580 0.0626  2 Mn 2.84

VASP energy = -4.45 eV per atom
SG = Imma
Energy relative to the elements, uncorrected = -865 meV/atom
Total magnetic moment = 4.01 μB/f.u.

Entry 6:
A relaxed structure of Ga2PtF, computed with PBE-GGA.

Cell: 5.5045 5.5045 6.7255 Å, 65.84 65.84 90.00°
With the nearest neighbours (Å) after each atom.
Positions (direct):
Ga1 0.6136 0.1250 0.2500  2 F 2.35, 2 Pt 2.42
Ga2 0.1364 0.6250 0.2500  2 F 2.35, 2 Pt 2.42
Ga3 0.3750 0.3864 0.7500  2 F 2.35, 2 Pt 2.42
Ga4 0.8750 0.8636 0.7500  2 F 2.35, 2 Pt 2.42
Pt1 0.0000 0.0000 0.0000  4 Ga 2.42
Pt2 0.7500 0.2500 0.5000  4 Ga 2.42
F1 0.5000 0.5000 0.0000  4 Ga 2.35
F2 0.2500 0.7500 0.5000  4 Ga 2.35

VASP energy = -4.29 eV per atom
SG = I-42d
Energy relative to the elements, uncorrected = -798 meV/atom
Total magnetic moment = 0.00 μB/f.u.

Entry 7:
A relaxed structure of AlTlHg2, computed with PBE-GGA.

Cell: 3.5283 3.5283 9.5258 Å, 79.33 79.33 60.00°
With the nearest neighbours (Å) after each atom.
Positions (direct):
Al1 0.6667 0.6667 0.0000  6 Hg 2.85-2.86
Tl1 0.5003 0.5003 0.4992  6 Hg 3.34-3.35, 6 Tl 3.53
Hg1 0.0715 0.0715 0.7856  3 Al 2.85
Hg2 0.2616 0.2616 0.2151  3 Al 2.86

Formation enthalpy at 0 K = 96.5 meV/atom
VASP energy = -1.58 eV per atom
SG = R3m
Total magnetic moment = 0.00 μB/f.u.

Entry 8:
A relaxed structure of LaTlMo2, computed with PBE-GGA.

Cell: 5.6520 5.6520 5.2611 Å, 69.65 69.65 35.28°
With the nearest neighbours (Å) after each atom.
Positions (direct):
La1 0.7332 0.7332 0.7743  7 Mo 3.14-3.25, 4 Tl 3.30-3.47, 2 La 3.43
Mo1 0.9594 0.9594 0.0274  2 Mo 2.48
Mo2 0.2866 0.2866 0.2452  2 Mo 2.48
Tl1 0.5208 0.5208 0.4532  7 Mo 3.08-3.32, 3 La 3.30-3.40, 2 Tl 3.43

Formation enthalpy at 0 K = 432.6 meV/atom
VASP energy = -6.81 eV per atom
SG = Cm
Total magnetic moment = 0.00 μB/f.u.

Entry 9:
A relaxed structure of Ac2Nd7Er2, computed with PBE-GGA.

Cell: 7.1443 9.6656 7.1443 Å, 90.00 121.77 90.00°
With the nearest neighbours (Å) after each atom.
Positions (direct):
Ac1 0.7518 0.5000 0.7518  2 Ac 3.45-3.50, 6 Nd 3.61-3.63
Ac2 0.2482 0.5000 0.2482  2 Ac 3.45-3.50, 6 Nd 3.61-3.63
Nd1 0.9998 0.3088 0.5003  2 Er 3.46, 5 Nd 3.48-3.80, 2 Ac 3.62-3.63
Nd2 0.5003 0.6912 0.9998  2 Er 3.46, 5 Nd 3.48-3.80, 2 Ac 3.62-3.63
Nd3 0.0002 0.6912 0.4997  2 Er 3.46, 5 Nd 3.48-3.80, 2 Ac 3.62-3.63
Nd4 0.4997 0.3088 0.0002  2 Er 3.46, 5 Nd 3.48-3.80, 2 Ac 3.62-3.63
Nd5 0.0000 0.0000 0.0000  2 Er 3.32
Nd6 0.5002 0.8262 0.4998  1 Nd 3.36, 2 Er 3.37, 2 Ac 3.61
Nd7 0.4998 0.1738 0.5002  1 Nd 3.36, 2 Er 3.37, 2 Ac 3.61
Er1 0.7340 0.0000 0.2660  7 Nd 3.32-3.46, 2 Er 3.50
Er2 0.2660 0.0000 0.7340  7 Nd 3.32-3.46, 2 Er 3.50

Formation enthalpy at 0 K = 341.5 meV/atom
VASP energy = -4.27 eV per atom
SG = Cmmm
Total magnetic moment = 0.44 μB/f.u.

Entry 10:
A relaxed structure of LaCeAlAu, computed with PBE-GGA.

Cell: 5.3258 5.3258 5.3258 Å, 60.00 60.00 60.00°
With the nearest neighbours (Å) after each atom.
Positions (direct):
Au1 0.0000 0.0000 0.0000  4 Ce 3.26, 4 La 3.26
Al1 0.5000 0.5000 0.5000  4 Ce 3.26, 4 La 3.26
Ce1 0.7500 0.7500 0.7500  4 Al 3.26, 4 Au 3.26
La1 0.2500 0.2500 0.2500  4 Au 3.26, 4 Al 3.26

Formation enthalpy at 0 K = -405.5 meV/atom
VASP energy = -4.88 eV per atom
SG = F-43m
Total magnetic moment = 1.35 μB/f.u.

Entry 11:
A relaxed structure of Dy2ThSb, computed with PBE-GGA.

Cell: 3.9235 3.9235 7.4472 Å, 90.00 90.00 90.00°
With the nearest neighbours (Å) after each atom.
Positions (direct):
Sb1 0.5000 0.5000 0.5000  8 Dy 3.22
Th1 0.5000 0.5000 0.0000  8 Dy 3.47, 2 Sb 3.72
Dy1 0.0000 0.0000 0.7194  4 Sb 3.22, 1 Dy 3.27, 4 Th 3.47
Dy2 0.0000 0.0000 0.2806  4 Sb 3.22, 1 Dy 3.27, 4 Th 3.47

VASP energy = -5.68 eV per atom
SG = P4/mmm
Energy relative to the elements, uncorrected = -492 meV/atom
Total magnetic moment = 0.00 μB/f.u.

Entry 12:
A relaxed structure of BaLiIn2, computed with PBE-GGA.

Cell: 5.3918 5.3918 10.6434 Å, 75.33 75.33 90.00°
With the nearest neighbours (Å) after each atom.
Positions (direct):
Li1 0.5000 0.5000 0.0000  4 In 2.86
Li2 0.2500 0.7500 0.5000  4 In 2.86
Ba1 0.0000 0.0000 0.0000  4 In 3.61, 4 Li 3.81
Ba2 0.7500 0.2500 0.5000  4 In 3.61, 4 Li 3.81
In1 0.4583 0.1250 0.2500  2 In 2.84, 2 Li 2.86
In2 0.2917 0.6250 0.2500  2 In 2.84, 2 Li 2.86
In3 0.3750 0.5417 0.7500  2 In 2.84, 2 Li 2.86
In4 0.8750 0.7083 0.7500  2 In 2.84, 2 Li 2.86

Formation enthalpy at 0 K = -160.4 meV/atom
VASP energy = -2.49 eV per atom
SG = I-42d
Total magnetic moment = 0.00 μB/f.u.

Entry 13:
A relaxed structure of LaPrNdCo, computed with PBE-GGA.

Cell: 3.7024 4.9874 7.8360 Å, 108.59 118.25 89.95°
With the nearest neighbours (Å) after each atom.
Positions (direct):
La1 0.7506 0.3145 0.1919  1 Co 2.37
Pr1 0.5512 0.9647 0.4928  2 Co 2.82-2.83
Nd1 0.9273 0.6529 0.8689  4 Co 3.12, 2 Pr 3.48
Co1 0.3825 0.1308 0.8242  1 La 2.37

Formation enthalpy at 0 K = 39.4 meV/atom
VASP energy = -5.36 eV per atom
SG = Amm2
Total magnetic moment = 0.00 μB/f.u.

Entry 14:
A relaxed structure of NaLi2PdF6, computed with PBE-GGA.

Cell: 5.8508 7.1576 7.1576 Å, 84.52 75.07 75.07°
With the nearest neighbours (Å) after each atom.
Positions (direct):
Na1 0.2500 0.9064 0.0936  6 F 2.25-2.45
Na2 0.7500 0.0936 0.9064  6 F 2.25-2.45
Li1 0.3878 0.7663 0.6286  4 F 1.87-1.93
Li2 0.1122 0.3714 0.2337  4 F 1.87-1.93
Li3 0.6122 0.2337 0.3714  4 F 1.87-1.93
Li4 0.8878 0.6286 0.7663  4 F 1.87-1.93
Pd1 0.2500 0.2627 0.7373  6 F 1.96-2.14
Pd2 0.7500 0.7373 0.2627  6 F 1.96-2.14
F1 0.1922 0.9768 0.7844  1 Li 1.90
F2 0.3078 0.2156 0.0232  1 Li 1.90
F3 0.8078 0.0232 0.2156  1 Li 1.90
F4 0.6922 0.7844 0.9768  1 Li 1.90
F5 0.3974 0.8316 0.3598  1 Li 1.93, 1 Pd 1.96
F6 0.1026 0.6402 0.1684  1 Li 1.93, 1 Pd 1.96
F7 0.6026 0.1684 0.6402  1 Li 1.93, 1 Pd 1.96
F8 0.8974 0.3598 0.8316  1 Li 1.93, 1 Pd 1.96
F9 0.2388 0.5625 0.7188  2 Li 1.87-1.93
F10 0.2612 0.2812 0.4375  2 Li 1.87-1.93
F11 0.7612 0.4375 0.2812  2 Li 1.87-1.93
F12 0.7388 0.7188 0.5625  2 Li 1.87-1.93

VASP energy = -4.39 eV per atom
SG = C2/c
Energy relative to the elements, uncorrected = -2230 meV/atom
Total magnetic moment = 1.00 μB/f.u.

Entry 15:
A relaxed structure of RhF, computed with PBE-GGA.

Cell: 2.6989 2.6988 7.9421 Å, 90.00 90.00 120.00°
With the nearest neighbours (Å) after each atom.
Positions (direct):
Rh1 0.3333 0.6667 0.6659  1 F 1.98
Rh2 0.6667 0.3333 0.1659  1 F 1.98
F1 0.3333 0.6667 0.4161  1 Rh 1.98
F2 0.6667 0.3333 0.9161  1 Rh 1.98

VASP energy = -5.08 eV per atom
SG = P6_3mc
Energy relative to the elements, uncorrected = -468 meV/atom
Total magnetic moment = 0.44 μB/f.u.

Entry 16:
A relaxed structure of SbPdI6, computed with PBE-GGA.

Cell: 7.1556 7.1919 7.7406 Å, 62.40 65.79 63.38°
With the nearest neighbours (Å) after each atom.
Positions (direct):
Sb1 0.5000 0.5000 0.5000  6 I 3.02-3.09
Pd1 0.0000 0.0000 0.0000  6 I 2.72-2.91
I1 0.0754 0.3935 0.7635  1 Pd 2.72
I2 0.7672 0.0672 0.7600  1 Pd 2.73
I3 0.6156 0.2326 0.2434  1 Pd 2.91, 1 Sb 3.02
I4 0.2328 0.9328 0.2400  1 Pd 2.73
I5 0.9246 0.6065 0.2365  1 Pd 2.72
I6 0.3844 0.7674 0.7566  1 Pd 2.91, 1 Sb 3.02

VASP energy = -2.46 eV per atom
SG = P-1
Energy relative to the elements, uncorrected = -128 meV/atom
Total magnetic moment = 0.00 μB/f.u.

Entry 17:
A relaxed structure of ScHgCl2, computed with PBE-GGA.

Cell: 3.3704 3.3704 7.9843 Å, 90.00 90.00 90.00°
With the nearest neighbours (Å) after each atom.
Positions (direct):
Sc1 0.5000 0.5000 0.7639  4 Cl 2.73
Hg1 0.0000 0.0000 0.5064  4 Cl 2.91, 4 Sc 3.15
Cl1 0.0000 0.0000 0.9315  4 Sc 2.73
Cl2 0.5000 0.5000 0.2982  4 Hg 2.91

VASP energy = -3.51 eV per atom
SG = P4mm
Energy relative to the elements, uncorrected = -930 meV/atom
Total magnetic moment = 0.35 μB/f.u.

Entry 18:
A relaxed structure of Tb2Tl3GeTe6, computed with PBE-GGA.

Cell: 4.3974 9.4810 10.4712 Å, 107.33 102.12 90.00°
With the nearest neighbours (Å) after each atom.
Positions (direct):
Tb1 0.8343 0.6654 0.6686  6 Te 3.08-3.12
Tb2 0.1657 0.3346 0.3314  6 Te 3.08-3.12
Tl1 0.5000 0.5000 0.0000  6 Te 3.43-3.44
Tl2 0.8318 0.1588 0.6636  6 Te 3.38-3.48
Tl3 0.1682 0.8412 0.3364  6 Te 3.38-3.48
Ge1 0.5000 0.0000 0.0000  6 Te 3.03-3.04
Te1 0.3445 0.8980 0.6889  1 Ge 3.03, 2 Tb 3.08, 2 Tl 3.38
Te2 0.6744 0.5696 0.3488  3 Tb 3.10-3.12, 3 Tl 3.42-3.43
Te3 0.6555 0.1020 0.3111  1 Ge 3.03, 2 Tb 3.08, 2 Tl 3.38
Te4 0.0068 0.2254 0.0136  2 Ge 3.04, 1 Tb 3.10
Te5 0.9932 0.7746 0.9864  2 Ge 3.04, 1 Tb 3.10
Te6 0.3256 0.4304 0.6512  3 Tb 3.10-3.12, 3 Tl 3.42-3.43

VASP energy = -4.05 eV per atom
SG = C2/m
Energy relative to the elements, uncorrected = -730 meV/atom
Total magnetic moment = 0.00 μB/f.u.

Entry 19:
A relaxed structure of Ag2OsRuF, computed with PBE-GGA.

Cell: 5.1623 4.5456 5.1623 Å, 90.00 90.00 90.00°
With the nearest neighbours (Å) after each atom.
Positions (direct):
Ru1 0.0000 0.5000 0.0000  2 Os 2.27
Os1 0.0000 0.0000 0.0000  2 Ru 2.27
Ag1 0.0000 0.0000 0.5000  2 Os 2.58
Ag2 0.5000 0.0000 0.0000  2 Os 2.58
F1 0.5000 0.5000 0.5000  8 Ag 3.44, 4 Ru 3.65

VASP energy = -4.35 eV per atom
SG = P4/mmm
Energy relative to the elements, uncorrected = 1263 meV/atom
Total magnetic moment = 1.53 μB/f.u.

Entry 20:
A relaxed structure of Pr4NdTl3, computed with PBE-GGA.

Cell: 5.5836 5.5836 10.0003 Å, 73.79 73.79 60.00°
With the nearest neighbours (Å) after each atom.
Positions (direct):
Pr1 0.8676 0.8676 0.3973  7 Tl 3.37-3.74, 1 Nd 3.76, 3 Pr 3.76
Pr2 0.3875 0.3875 0.8376  5 Tl 3.20-3.50, 3 Nd 3.57
Pr3 0.1325 0.1325 0.6027  7 Tl 3.37-3.74, 1 Nd 3.76, 3 Pr 3.76
Pr4 0.6125 0.6125 0.1624  5 Tl 3.20-3.50, 3 Nd 3.57
Tl1 0.2641 0.2641 0.2077  4 Pr 3.25-3.50
Tl2 0.7359 0.7359 0.7923  4 Pr 3.25-3.50
Tl3 0.5000 0.5000 0.5000  8 Pr 3.20-3.37
Nd1 0.0000 0.0000 0.0000  8 Pr 3.57-3.76, 6 Tl 3.78

Formation enthalpy at 0 K = -246.6 meV/atom
VASP energy = -4.12 eV per atom
SG = R-3m
Total magnetic moment = 2.18 μB/f.u.

Entry 21:
A relaxed structure of TiFe2CoC, computed with PBE-GGA.

Cell: 3.7685 3.7685 3.7276 Å, 90.00 90.00 90.00°
With the nearest neighbours (Å) after each atom.
Positions (direct):
C1 0.0000 0.0000 0.0000  2 Co 1.86, 4 Fe 1.88
Co1 0.0000 0.0000 0.5000  2 C 1.86
Fe1 0.0000 0.5000 0.0000  2 C 1.88
Fe2 0.5000 0.0000 0.0000  2 C 1.88
Ti1 0.5000 0.5000 0.5000  8 Fe 2.65, 4 Co 2.66

Formation enthalpy at 0 K = -226.8 meV/atom
VASP energy = -8.46 eV per atom
SG = P4/mmm
Total magnetic moment = 1.07 μB/f.u.

Entry 22:
A relaxed structure of CsPdF2, computed with PBE-GGA.

Cell: 5.2708 5.2708 7.8090 Å, 70.28 70.28 90.00°
With the nearest neighbours (Å) after each atom.
Positions (direct):
Cs1 0.0000 0.0000 0.0000  4 F 2.93
Cs2 0.7500 0.2500 0.5000  4 F 2.93
Pd1 0.5000 0.5000 0.0000  4 F 2.26
Pd2 0.2500 0.7500 0.5000  4 F 2.26
F1 0.4989 0.1250 0.2500  2 Pd 2.26
F2 0.2511 0.6250 0.2500  2 Pd 2.26
F3 0.3750 0.5011 0.7500  2 Pd 2.26
F4 0.8750 0.7489 0.7500  2 Pd 2.26

VASP energy = -3.88 eV per atom
SG = I-42d
Energy relative to the elements, uncorrected = -1429 meV/atom
Total magnetic moment = 1.00 μB/f.u.